Ba2BeC | GGA-PBE | optimized geometry

## Properties
ΔE_f = 1080 meV per atom
DOS(E_F) = 1.1 states/eV/cell
magnetic moment = 0.000 μB/cell

Unit cell a=7.4645 b=7.4645 c=7.4645 alpha=90.00 beta=90.00 gamma=90.00
Closest atoms and distances in Å follow each position.
Fractional coordinates of all 16 atoms:
Ba (0.2500, 0.2500, 0.2500)  4 Be 3.23, 4 C 3.23
Ba (0.2500, 0.2500, 0.7500)  4 Be 3.23, 4 C 3.23
Ba (0.2500, 0.7500, 0.2500)  4 Be 3.23, 4 C 3.23
Ba (0.2500, 0.7500, 0.7500)  4 Be 3.23, 4 C 3.23
Ba (0.7500, 0.2500, 0.2500)  4 Be 3.23, 4 C 3.23
Ba (0.7500, 0.2500, 0.7500)  4 Be 3.23, 4 C 3.23
Ba (0.7500, 0.7500, 0.2500)  4 Be 3.23, 4 C 3.23
Ba (0.7500, 0.7500, 0.7500)  4 Be 3.23, 4 C 3.23
Be (0.0000, 0.0000, 0.0000)  8 Ba 3.23
Be (0.0000, 0.5000, 0.5000)  8 Ba 3.23
Be (0.5000, 0.0000, 0.5000)  8 Ba 3.23
Be (0.5000, 0.5000, 0.0000)  8 Ba 3.23
C (0.0000, 0.0000, 0.5000)  8 Ba 3.23
C (0.0000, 0.5000, 0.0000)  8 Ba 3.23
C (0.5000, 0.0000, 0.0000)  8 Ba 3.23
C (0.5000, 0.5000, 0.5000)  8 Ba 3.23

=====

Ba3BeC | GGA-PBE | optimized geometry

## Properties
ΔE_f = 1462 meV per atom
DOS(E_F) = 7.9 states/eV/cell
magnetic moment = 2.474 μB/cell

Unit cell a=6.0721 b=6.0721 c=6.0721 alpha=90.00 beta=90.00 gamma=90.00
Closest atoms and distances in Å follow each position.
Fractional coordinates of all 5 atoms:
Ba (0.0000, 0.0000, 0.5000)  2 Be 3.04
Ba (0.0000, 0.5000, 0.0000)  2 Be 3.04
Ba (0.5000, 0.0000, 0.0000)  2 Be 3.04
Be (0.0000, 0.0000, 0.0000)  6 Ba 3.04
C (0.5000, 0.5000, 0.5000)  12 Ba 4.29

=====

BaBeC3 | GGA-PBE | optimized geometry

## Properties
ΔE_f = 1991 meV per atom
DOS(E_F) = 3.2 states/eV/cell
magnetic moment = 0.000 μB/cell

Unit cell a=4.0210 b=4.0210 c=4.0210 alpha=90.00 beta=90.00 gamma=90.00
Closest atoms and distances in Å follow each position.
Fractional coordinates of all 5 atoms:
Ba (0.0000, 0.0000, 0.0000)  12 C 2.84
Be (0.5000, 0.5000, 0.5000)  6 C 2.01
C (0.0000, 0.5000, 0.5000)  2 Be 2.01
C (0.5000, 0.0000, 0.5000)  2 Be 2.01
C (0.5000, 0.5000, 0.0000)  2 Be 2.01

=====

BaBeCoC2 | GGA-PBE | optimized geometry

## Properties
ΔE_f = 3584 meV per atom
DOS(E_F) = 9.5 states/eV/cell
magnetic moment = 0.384 μB/cell

Unit cell a=4.5744 b=4.5744 c=5.0589 alpha=90.00 beta=90.00 gamma=90.00
Closest atoms and distances in Å follow each position.
Fractional coordinates of all 5 atoms:
Ba (0.0000, 0.0000, 0.0000)  4 C 2.29, 2 Be 2.53
Be (0.0000, 0.0000, 0.5000)  2 Ba 2.53
Co (0.5000, 0.5000, 0.5000)  4 Be 3.23, 8 C 3.41
C (0.0000, 0.5000, 0.0000)  2 Ba 2.29
C (0.5000, 0.0000, 0.0000)  2 Ba 2.29